(1)
The following is a GGA-PBE calculation of crystalline SmHo7Tm4 at its relaxed geometry, from Alexandria via LeMat-Bulk.

a b c (Å): 5.8039 11.4443 6.6464
angles (deg): 83.21 64.11 75.31
Fractional positions:
1 Tm 0.6326 0.2258 0.5090
2 Tm 0.3674 0.7742 0.4910
3 Tm 0.7486 0.6850 0.8178
4 Tm 0.2514 0.3150 0.1822
5 Ho 0.6350 0.4962 0.2338
6 Ho 0.3650 0.5038 0.7662
7 Ho 0.5000 0.0000 0.0000
8 Ho 0.9413 0.3279 0.7895
9 Ho 0.7888 0.9227 0.4998
10 Ho 0.2112 0.0773 0.5002
11 Ho 0.0587 0.6721 0.2105
12 Sm 0.0000 0.0000 0.0000

Values from the calculation:
The total DFT energy (no corrections) is -4.264 eV/atom. The value obtained for the density of states at the Fermi level is 20.427 states/eV/cell. The calculation puts the volume at 32.014 A^3/atom. As for the crystal system: monoclinic.



(2)
The following is a GGA-PBE calculation of crystalline FeOs at its relaxed geometry, from Alexandria via LeMat-Bulk.

a b c (Å): 7.1389 7.1389 7.1389
angles (deg): 90.00 90.00 90.00
Fractional positions:
1 Fe 0.1706 0.1706 0.1706
2 Fe 0.6706 0.6706 0.6706
3 Fe 0.8294 0.8294 0.1706
4 Fe 0.8294 0.1706 0.8294
5 Fe 0.6706 0.3294 0.3294
6 Fe 0.1706 0.8294 0.8294
7 Fe 0.3294 0.3294 0.6706
8 Fe 0.3294 0.6706 0.3294
9 Os 0.3506 0.3506 0.3506
10 Os 0.1494 0.8506 0.1494
11 Os 0.8506 0.1494 0.1494
12 Os 0.3506 0.6494 0.6494
13 Os 0.1494 0.1494 0.8506
14 Os 0.6494 0.6494 0.3506
15 Os 0.8506 0.8506 0.8506
16 Os 0.6494 0.3506 0.6494

Values from the calculation:
The total DFT energy (no corrections) is -8.184 eV/atom. The value obtained for the density of states at the Fermi level is 20.503 states/eV/cell. The calculation puts the volume at 22.739 A^3/atom. As for the crystal system: cubic.



(3)
The following is a GGA-PBE calculation of crystalline Ba2PmH6Ru at its relaxed geometry, from Alexandria via LeMat-Bulk.

a b c (Å): 6.1109 5.7544 5.7544
angles (deg): 120.00 90.00 90.00
Site moments in Bohr magnetons follow the coordinates.
Fractional positions:
1 Ru 0.0000 0.0000 0.0000  0.03
2 Ba 0.8303 0.6667 0.3333  0.02
3 Ba 0.1697 0.3333 0.6667  0.02
4 H 0.8284 0.1406 0.2812  0.00
5 H 0.1716 0.2812 0.1406  0.00
6 H 0.1716 0.8594 0.1406  0.00
7 H 0.1716 0.8594 0.7188  0.00
8 H 0.8284 0.1406 0.8594  0.00
9 H 0.8284 0.7188 0.8594  0.00
10 Pm 0.5000 0.0000 0.0000  0.10

Values from the calculation:
The total DFT energy (no corrections) is -4.194 eV/atom. The value obtained for the density of states at the Fermi level is 4.426 states/eV/cell. The calculation puts the volume at 17.524 A^3/atom. As for the crystal system: trigonal.



(4)
The following is a GGA-PBE calculation of crystalline Sc4Co at its relaxed geometry, from Alexandria via LeMat-Bulk.

a b c (Å): 6.5984 6.5984 6.5984
angles (deg): 108.62 108.62 111.19
Site moments in Bohr magnetons follow the coordinates.
Fractional positions:
1 Sc 0.2420 0.9463 0.6937  0.07
2 Sc 0.6582 0.4645 0.7956  0.07
3 Sc 0.1126 0.4188 0.7044  0.07
4 Sc 0.7983 0.0026 0.8063  0.07
5 Sc 0.6688 0.8626 0.2044  0.07
6 Sc 0.1963 0.9920 0.1937  0.07
7 Sc 0.2526 0.5483 0.3063  0.07
8 Sc 0.7145 0.4082 0.2956  0.07
9 Co 0.3304 0.3304 0.0000  0.00
10 Co 0.5804 0.0804 0.5000  0.00

Values from the calculation:
The total DFT energy (no corrections) is -6.615 eV/atom. The value obtained for the density of states at the Fermi level is 12.251 states/eV/cell. The calculation puts the volume at 22.100 A^3/atom. As for the crystal system: tetragonal.



(5)
The following is a GGA-PBE calculation of crystalline K2TcO6 at its relaxed geometry, from Alexandria via LeMat-Bulk.

a b c (Å): 5.6349 5.6349 11.3730
angles (deg): 90.00 90.00 90.00
Site moments in Bohr magnetons follow the coordinates.
Fractional positions:
1 O 0.1644 0.8356 0.8825  0.46
2 O 0.7352 0.2648 0.5000  0.47
3 O 0.6644 0.6644 0.6175  0.46
4 O 0.3356 0.3356 0.6175  0.46
5 O 0.2352 0.2352 0.0000  0.47
6 O 0.6644 0.6644 0.3825  0.46
7 O 0.3356 0.3356 0.3825  0.46
8 O 0.2648 0.7352 0.5000  0.47
9 O 0.7648 0.7648 0.0000  0.47
10 O 0.1644 0.8356 0.1175  0.46
11 O 0.8356 0.1644 0.1175  0.46
12 O 0.8356 0.1644 0.8825  0.46
13 K 0.5000 0.5000 0.8373  0.00
14 K 0.0000 0.0000 0.6627  0.00
15 K 0.0000 0.0000 0.3373  0.00
16 K 0.5000 0.5000 0.1627  0.00
17 Tc 0.0000 0.0000 0.0000  -0.34
18 Tc 0.5000 0.5000 0.5000  -0.34

Values from the calculation:
The total DFT energy (no corrections) is -5.597 eV/atom. The value obtained for the density of states at the Fermi level is 0.060 states/eV/cell. The calculation puts the volume at 20.062 A^3/atom. As for the crystal system: tetragonal. For the uncorrected formation energy, the calculation gives -0.90 eV per atom.



(6)
The following is a GGA-PBE calculation of crystalline SmY3Sc7 at its relaxed geometry, from Alexandria via LeMat-Bulk.

a b c (Å): 5.4538 8.0234 8.0234
angles (deg): 81.71 110.00 110.00
Fractional positions:
1 Sm 0.5000 0.5000 0.5000
2 Y 0.0000 0.7905 0.2095
3 Y 0.0000 0.2095 0.7905
4 Y 0.5000 0.0000 0.0000
5 Sc 0.2106 0.2093 0.2093
6 Sc 0.0000 0.5000 0.5000
7 Sc 0.7184 0.0281 0.4082
8 Sc 0.7184 0.4082 0.0281
9 Sc 0.7894 0.7907 0.7907
10 Sc 0.2816 0.9719 0.5918
11 Sc 0.2816 0.5918 0.9719

Values from the calculation:
The total DFT energy (no corrections) is -5.925 eV/atom. The value obtained for the density of states at the Fermi level is 19.121 states/eV/cell. The calculation puts the volume at 28.172 A^3/atom. As for the crystal system: monoclinic.



(7)
The following is a GGA-PBE calculation of crystalline La4Nd4Sc at its relaxed geometry, from Alexandria via LeMat-Bulk.

a b c (Å): 5.1908 8.1812 8.1812
angles (deg): 84.22 71.50 71.50
Fractional positions:
1 La 0.0000 0.3314 0.6686
2 La 0.3314 0.6686 0.6686
3 La 0.0000 0.6686 0.3314
4 La 0.6686 0.3314 0.3314
5 Nd 0.6621 0.0000 0.6757
6 Nd 0.3379 0.0000 0.3243
7 Nd 0.3379 0.3243 0.0000
8 Nd 0.6621 0.6757 0.0000
9 Sc 0.0000 0.0000 0.0000

Values from the calculation:
The total DFT energy (no corrections) is -4.978 eV/atom. The value obtained for the density of states at the Fermi level is 16.948 states/eV/cell. The calculation puts the volume at 34.718 A^3/atom. As for the crystal system: tetragonal.



(8)
The following is a GGA-PBE calculation of crystalline CuSbIr2 at its relaxed geometry, from Alexandria via LeMat-Bulk.

a b c (Å): 5.1657 5.1657 4.7578
angles (deg): 65.52 65.52 33.68
Fractional positions:
1 Sb 0.4869 0.4869 0.5797
2 Cu 0.2671 0.2671 0.1576
3 Ir 0.7378 0.7378 0.6664
4 Ir 0.0082 0.0082 0.0963

Values from the calculation:
The total DFT energy (no corrections) is -6.320 eV/atom. The value obtained for the density of states at the Fermi level is 1.612 states/eV/cell. The calculation puts the volume at 15.865 A^3/atom. As for the crystal system: monoclinic. For the uncorrected formation energy, the calculation gives 0.17 eV per atom.